Here is a geometry-optimized Ca2HN structure from Alexandria. Energies are from GGA-PBE.

abc: 4.229 4.229 4.229
angles: 60.00 60.00 60.00
Positions (direct):
1 Ca 0.250 0.250 0.250
2 Ca 0.750 0.750 0.750
3 H 0.000 0.000 0.000
4 N 0.500 0.500 0.500

Density of states at the Fermi level ... 0.0 states/eV/f.u.
Total magnetic moment ... 0.000 μB/atom
Crystal system ... cubic
Calculated total energy ... -4.46 eV/atom
Symmetry ... Fm-3m, No. 225